Material: Rb3Pm3GaSe8
Method: DFT, PBE-GGA
State: relaxed

Computed properties:
DFT total energy   -4.562 eV/atom
ΔE_f (raw)   -1966 kJ/mol of formula units
Total moment   0.0 μB per formula unit

Structure (CIF):
```
data_Rb3Pm3GaSe8
_chemical_formula_sum 'Rb6 Pm6 Ga2 Se16'
_symmetry_space_group_name_H-M 'C 1 2/m 1'
_symmetry_Int_Tables_number 12
_symmetry_space_group_name_Hall '-C 2y'
_cell_length_a 14.603
_cell_length_b 8.428
_cell_length_c 9.567
_cell_angle_alpha 90.00
_cell_angle_beta 120.61
_cell_angle_gamma 90.00
loop_
_atom_site_label
_atom_site_fract_x
_atom_site_fract_y
_atom_site_fract_z
_atom_site_occupancy
Rb1 0.000 0.000 0.000 1
Rb2 0.250 0.250 0.000 1
Pm1 0.000 0.500 0.500 1
Pm2 0.250 0.250 0.500 1
Ga1 0.000 0.000 0.500 1
Se1 0.015 0.231 0.313 1
Se2 0.215 0.000 0.686 1
Se3 0.234 0.500 0.701 1
```